An optimized crystal structure of Gd2TiZn. Source: the Alexandria database, functional PBE.

Summary:
N(E_F)   5.18 states/eV/f.u.
Total DFT energy (no corrections)   -8.971 eV per atom
Energy above the lowest structure with this stoichiometry   375 meV/atom
DFT formation energy   8.344 kcal/mol of atoms

Cell lengths 3.3024, 3.3024, 10.9651 Å; angles 81.34, 81.34, 60.00 degrees
Last column: nearest neighbours and their distance in Å.
Sites, in units of the cell vectors:
Zn  0.5000  0.5000  0.5000  6 Gd 3.08, 6 Zn 3.30
Gd  0.0921  0.0921  0.7237  1 Ti 2.98, 3 Zn 3.08, 6 Gd 3.30
Gd  0.9079  0.9079  0.2763  1 Ti 2.98, 3 Zn 3.08, 6 Gd 3.30
Ti  0.0000  0.0000  0.0000  2 Gd 2.98, 6 Ti 3.30